The following is a DFT calculation (PBE-GGA) of a geometry-optimized Ho6PuSc2 structure.

Properties
ΔE to the lowest computed polymorph in eV per formula unit: 0.00
Magnetization in μB per cell: 25.55
Mass density in Mg/m³: 8.3
DFT formation energy in eV per atom: 0.187

a b c (Å): 13.813 10.967 7.042
angles (deg): 90.00 93.67 90.00
Space group C2/c (No. 15)
Unique sites:
Ho  0.097  0.000  0.368 x8
Ho  0.129  0.265  0.097 x8
Ho  0.130  0.265  0.597 x8
Pu  0.000  0.499  0.750 x4
Sc  0.215  0.500  0.360 x8